Entry 1:
Rb2HgClF6: optimized geometry, PBE.

Cell lengths 6.3059, 6.3059, 6.7364 Å; angles 62.09, 62.09, 90.00 degrees
With the nearest neighbours (Å) after each atom.
Fractional coordinates of all 10 atoms:
Hg 0.0000 0.0000 0.0000  6 F 2.12-2.35
Rb 0.7500 0.2500 0.5000  12 F 3.18-3.37
F 0.2634 0.7366 0.0000  1 Cl 2.11, 1 Hg 2.35
Cl 0.5000 0.5000 0.0000  4 F 2.11
F 0.2098 0.2098 0.5804  1 Hg 2.12
F 0.7366 0.7366 0.0000  1 Cl 2.11, 1 Hg 2.35
F 0.7902 0.7902 0.4196  1 Hg 2.12
F 0.7366 0.2634 0.0000  1 Cl 2.11, 1 Hg 2.35
Rb 0.2500 0.7500 0.5000  12 F 3.18-3.37
F 0.2634 0.2634 0.0000  1 Cl 2.11, 1 Hg 2.35

Calculated values
E   -3.13 eV per atom
Total magnetic moment   1.00 μB/cell
Formation energy from raw total energies   -1602 meV/atom
Space-group type   I4/mmm, No. 139


Entry 2:
CaLa2Cr: optimized geometry, PBE.

Cell lengths 11.2382, 11.2382, 11.2382 Å; angles 19.23, 19.23, 19.23 degrees
With the nearest neighbours (Å) after each atom.
Fractional coordinates of all 4 atoms:
La 0.4824 0.4824 0.4824  3 Cr 3.07
La 0.0176 0.0176 0.0176  3 Cr 3.07
Cr 0.7500 0.7500 0.7500  6 La 3.07
Ca 0.2500 0.2500 0.2500  6 Ca 3.75, 6 La 3.98

Calculated values
Distance to the lowest polymorph of the same formula   0.118 eV per atom
E   -4.99 eV per atom
Total magnetic moment   3.40 μB/cell
Energy of formation from the pure elements   382 meV per atom
Space-group type   R-3m, No. 166


Entry 3:
KReAs2: optimized geometry, PBE.

Cell lengths 4.7685, 4.7685, 4.7685 Å; angles 60.00, 60.00, 60.00 degrees
With the nearest neighbours (Å) after each atom.
Fractional coordinates of all 4 atoms:
Re 0.7500 0.7500 0.7500  4 As 2.92, 4 K 2.92
As 0.2500 0.2500 0.2500  4 As 2.92, 4 K 2.92
As 0.0000 0.0000 0.0000  4 As 2.92, 4 Re 2.92
K 0.5000 0.5000 0.5000  4 As 2.92, 4 Re 2.92

Calculated values
Distance to the lowest polymorph of the same formula   1.354 eV per atom
E   -4.46 eV per atom
Total magnetic moment   0.13 μB/cell
Energy of formation from the pure elements   1255 meV per atom
Space-group type   F-43m, No. 216


- What is the total magnetic moment in the first record?
  1.00 μB/cell